Entry 1:
VASP calculation (PBE-GGA) on MnBe2Cu after structural relaxation.

a b c (Å): 2.448 3.886 8.082
angles (deg): 90.00 90.00 90.00
Atoms (fractional coordinates):
1 Mn 0.000 0.000 0.000
2 Mn 0.500 0.500 0.500
3 Be 0.000 0.000 0.487
4 Be 0.000 0.500 0.757
5 Be 0.500 0.000 0.257
6 Be 0.500 0.500 0.987
7 Cu 0.000 0.500 0.225
8 Cu 0.500 0.000 0.725

Output
Symmetry: Imm2
Formation enthalpy at 0 K: 54.6 meV per atom
E: -41.0 eV/cell

***

Entry 2:
VASP calculation (PBE-GGA) on MnBe2Cu after structural relaxation.

a b c (Å): 2.649 2.651 5.561
angles (deg): 90.00 90.08 90.00
Atoms (fractional coordinates):
1 Mn 0.000 0.000 0.000
2 Be 0.500 0.500 0.251
3 Be 0.500 0.500 0.749
4 Cu 0.000 0.000 0.500

Output
Symmetry: P2/m
Formation enthalpy at 0 K: -92.3 meV per atom
E: -21.1 eV/cell

***

Entry 3:
VASP calculation (PBE-GGA) on MnBe2Cu after structural relaxation.

a b c (Å): 8.454 2.352 4.066
angles (deg): 90.00 108.86 90.00
Atoms (fractional coordinates):
1 Mn 0.000 0.000 0.000
2 Mn 0.500 0.500 0.000
3 Be 0.026 0.500 0.517
4 Be 0.245 0.000 0.873
5 Be 0.526 0.000 0.517
6 Be 0.745 0.500 0.873
7 Cu 0.277 0.500 0.388
8 Cu 0.777 0.000 0.388

Output
Symmetry: Cm
Formation enthalpy at 0 K: 2.9 meV per atom
E: -41.4 eV/cell

***

Entry 4:
VASP calculation (PBE-GGA) on MnBeCu2 after structural relaxation.

a b c (Å): 2.670 2.670 6.313
angles (deg): 90.00 90.00 90.00
Atoms (fractional coordinates):
1 Mn 0.000 0.000 0.000
2 Be 0.000 0.000 0.500
3 Cu 0.500 0.500 0.286
4 Cu 0.500 0.500 0.714

Output
Symmetry: P4/mmm
Formation enthalpy at 0 K: 61.0 meV per atom
E: -20.8 eV/cell

***

Entry 5:
VASP calculation (PBE-GGA) on MnBeCu after structural relaxation.

a b c (Å): 5.488 5.488 5.488
angles (deg): 90.00 90.00 90.00
Atoms (fractional coordinates):
1 Mn 0.000 0.000 0.000
2 Mn 0.000 0.500 0.500
3 Mn 0.500 0.000 0.500
4 Mn 0.500 0.500 0.000
5 Be 0.250 0.250 0.750
6 Be 0.250 0.750 0.250
7 Be 0.750 0.250 0.250
8 Be 0.750 0.750 0.750
9 Cu 0.250 0.250 0.250
10 Cu 0.250 0.750 0.750
11 Cu 0.750 0.250 0.750
12 Cu 0.750 0.750 0.250

Output
Offset from the most stable computed form: 0.809 eV/atom
Symmetry: F-43m
Formation enthalpy at 0 K: 699.5 meV per atom
E: -59.6 eV/cell

***

Entry 6:
VASP calculation (PBE-GGA) on MnBeCu2 after structural relaxation.

a b c (Å): 2.511 2.511 24.314
angles (deg): 90.00 90.00 120.00
Atoms (fractional coordinates):
1 Mn 0.000 0.000 0.000
2 Mn 0.333 0.667 0.667
3 Mn 0.667 0.333 0.333
4 Be 0.000 0.000 0.500
5 Be 0.333 0.667 0.167
6 Be 0.667 0.333 0.833
7 Cu 0.000 0.000 0.244
8 Cu 0.000 0.000 0.756
9 Cu 0.333 0.667 0.423
10 Cu 0.333 0.667 0.910
11 Cu 0.667 0.333 0.090
12 Cu 0.667 0.333 0.577

Output
Symmetry: R-3m
Formation enthalpy at 0 K: 136.2 meV per atom
E: -61.6 eV/cell

***

Entry 7:
VASP calculation (PBE-GGA) on MnBeCu after structural relaxation.

a b c (Å): 5.274 5.274 5.274
angles (deg): 90.00 90.00 90.00
Atoms (fractional coordinates):
1 Mn 0.000 0.000 0.000
2 Mn 0.000 0.500 0.500
3 Mn 0.500 0.000 0.500
4 Mn 0.500 0.500 0.000
5 Be 0.250 0.250 0.250
6 Be 0.250 0.750 0.750
7 Be 0.750 0.250 0.750
8 Be 0.750 0.750 0.250
9 Cu 0.000 0.000 0.500
10 Cu 0.000 0.500 0.000
11 Cu 0.500 0.000 0.000
12 Cu 0.500 0.500 0.500

Output
Offset from the most stable computed form: 0.442 eV/atom
Symmetry: F-43m
Formation enthalpy at 0 K: 333.1 meV per atom
E: -64.0 eV/cell

***

Entry 8:
VASP calculation (PBE-GGA) on MnBe2Cu after structural relaxation.

a b c (Å): 7.569 2.333 4.530
angles (deg): 90.00 97.28 90.00
Atoms (fractional coordinates):
1 Mn 0.000 0.000 0.000
2 Mn 0.500 0.500 0.000
3 Be 0.248 0.000 0.775
4 Be 0.252 0.500 0.225
5 Be 0.748 0.500 0.775
6 Be 0.752 0.000 0.225
7 Cu 0.000 0.500 0.500
8 Cu 0.500 0.000 0.500

Output
Symmetry: C2/m
Formation enthalpy at 0 K: 114.5 meV per atom
E: -40.5 eV/cell